{"formula": "LiTiGa5", "functional": "GGA-PBE", "state": "optimized geometry", "lattice_angstrom": [[4.859, 0.000, 0.000], [0.000, 4.859, 0.000], [0.000, 0.000, 5.460]], "species": ["Li", "Ti", "Ga", "Ga", "Ga", "Ga", "Ga"], "fractional_positions": [[0.000, 0.000, 0.000], [0.500, 0.500, 0.500], [0.000, 0.500, 0.261], [0.000, 0.500, 0.739], [0.500, 0.000, 0.261], [0.500, 0.000, 0.739], [0.500, 0.500, 0.000]], "delta_e_f_mev_per_atom": -68, "magnetic_moment_mub_per_cell": 0.68, "sg": "P4/mmm", "dos_ef_per_ev_cell": 4.47}

---

{"formula": "SrTmTh", "functional": "GGA-PBE", "state": "optimized geometry", "lattice_angstrom": [[-1.816, 1.816, 8.377], [1.816, -1.816, 8.377], [1.816, 1.816, -8.377]], "species": ["Sr", "Tm", "Th"], "fractional_positions": [[0.000, 0.000, 0.000], [0.318, 0.318, 0.000], [0.681, 0.681, 0.000]], "delta_e_f_mev_per_atom": 183, "magnetic_moment_mub_per_cell": 0.00, "sg": "I4mm", "dos_ef_per_ev_cell": 3.32}

---

{"formula": "Al2ZnGa3", "functional": "GGA-PBE", "state": "optimized geometry", "lattice_angstrom": [[3.182, 0.000, 0.000], [-0.072, 4.422, 0.000], [-0.819, -0.659, 7.488]], "species": ["Al", "Al", "Zn", "Ga", "Ga", "Ga"], "fractional_positions": [[0.072, 0.342, 0.328], [0.928, 0.658, 0.672], [0.500, 0.500, 0.000], [0.000, 0.000, 0.000], [0.426, 0.159, 0.672], [0.574, 0.841, 0.328]], "relative_energy_mev_per_atom": 0, "delta_e_f_mev_per_atom": 57, "magnetic_moment_mub_per_cell": 0.00, "sg": "P-1", "dos_ef_per_ev_cell": 1.53}

---

{"formula": "SbRh2Br", "functional": "GGA-PBE", "state": "optimized geometry", "lattice_angstrom": [[0.000, 3.283, 3.283], [3.283, 0.000, 3.283], [3.283, 3.283, 0.000]], "species": ["Sb", "Rh", "Rh", "Br"], "fractional_positions": [[0.000, 0.000, 0.000], [0.250, 0.250, 0.250], [0.750, 0.750, 0.750], [0.500, 0.500, 0.500]], "relative_energy_mev_per_atom": 344, "magnetic_moment_mub_per_cell": 0.00, "sg": "Fm-3m", "dos_ef_per_ev_cell": 1.98}

---

{"formula": "NaCoSb2Te", "functional": "GGA-PBE", "state": "optimized geometry", "lattice_angstrom": [[4.834, 0.000, 0.000], [0.000, 4.834, 0.000], [0.000, 0.000, 5.856]], "species": ["Na", "Co", "Sb", "Sb", "Te"], "fractional_positions": [[0.000, 0.000, 0.000], [0.500, 0.500, 0.500], [0.000, 0.500, 0.500], [0.500, 0.000, 0.500], [0.500, 0.500, 0.000]], "relative_energy_mev_per_atom": 0, "magnetic_moment_mub_per_cell": 0.00, "sg": "P4/mmm", "dos_ef_per_ev_cell": 2.12}

---

{"formula": "LaNbIn2Au", "functional": "GGA-PBE", "state": "optimized geometry", "lattice_angstrom": [[5.139, 0.000, 0.000], [0.000, 5.139, 0.000], [0.000, 0.000, 5.365]], "species": ["La", "Nb", "In", "In", "Au"], "fractional_positions": [[0.000, 0.000, 0.000], [0.500, 0.500, 0.000], [0.000, 0.500, 0.500], [0.500, 0.000, 0.500], [0.500, 0.500, 0.500]], "delta_e_f_mev_per_atom": 421, "magnetic_moment_mub_per_cell": 0.93, "sg": "P4/mmm", "dos_ef_per_ev_cell": 5.44}